Entry 1:
A relaxed La2NdCu2Hg3Pd crystal, computed with PBE.

The formation energy is -441 meV per atom.

The space group is Amm2 (No. 38) and the conventional cell measures 3.9875, 13.4711 and 7.7914 Å, with angles of 90.00, 90.00 and 90.00 degrees. The inequivalent atoms are La at (0.0000, 0.1996, 0.0000), Nd at (0.0000, 0.0000, 0.5971), Cu at (0.5000, 0.1656, 0.6979), Hg at (0.5000, 0.0000, 0.9276), Hg at (0.5000, 0.1325, 0.3341) and Pd at (0.0000, 0.0000, 0.1965).


Entry 2:
A relaxed LaPr2Cu2Hg3Pd crystal, computed with PBE.

The formation energy is -430 meV per atom.

The space group is Amm2 (No. 38) and the conventional cell measures 3.9963, 13.5536 and 7.7940 Å, with angles of 90.00, 90.00 and 90.00 degrees. The inequivalent atoms are La at (0.0000, 0.0000, 0.0000), Pr at (0.0000, 0.1987, 0.5968), Cu at (0.5000, 0.1669, 0.8969), Hg at (0.5000, 0.0000, 0.6638), Hg at (0.5000, 0.1357, 0.2638) and Pd at (0.0000, 0.0000, 0.3943).


Entry 3:
A relaxed La2PrCu2Hg3Pd crystal, computed with PBE.

The formation energy is -441 meV per atom.

The space group is Amm2 (No. 38) and the conventional cell measures 3.9851, 13.5055 and 7.8509 Å, with angles of 90.00, 90.00 and 90.00 degrees. The inequivalent atoms are La at (0.0000, 0.1982, 0.0000), Pr at (0.0000, 0.0000, 0.5928), Cu at (0.5000, 0.1665, 0.6966), Hg at (0.5000, 0.0000, 0.9231), Hg at (0.5000, 0.1335, 0.3333) and Pd at (0.0000, 0.0000, 0.1923).


Entry 4:
A relaxed Li2CuHg crystal, computed with PBE.

The total energy is -2.1494 eV per atom.

The space group is F-43m (No. 216) and the conventional cell measures 6.2464, 6.2464 and 6.2464 Å, with angles of 90.00, 90.00 and 90.00 degrees. The inequivalent atoms are Li at (0.0000, 0.0000, 0.0000), Li at (0.2500, 0.2500, 0.2500), Cu at (0.0000, 0.0000, 0.5000) and Hg at (0.2500, 0.2500, 0.7500).


Entry 5:
A relaxed LiCuSiHg crystal, computed with PBE.

As for the energy relative to the lowest polymorph listed for this composition: 0.00 eV/f.u.

The space group is F-43m (No. 216) and the conventional cell measures 6.2637, 6.2637 and 6.2637 Å, with angles of 90.00, 90.00 and 90.00 degrees. The inequivalent atoms are Li at (0.0000, 0.0000, 0.0000), Cu at (0.0000, 0.0000, 0.5000), Si at (0.2500, 0.2500, 0.2500) and Hg at (0.2500, 0.2500, 0.7500).


Entry 6:
A relaxed LiTlCuHg crystal, computed with PBE.

As for the energy relative to the lowest polymorph listed for this composition: 0.00 eV/f.u.

The space group is F-43m (No. 216) and the conventional cell measures 6.6478, 6.6478 and 6.6478 Å, with angles of 90.00, 90.00 and 90.00 degrees. The inequivalent atoms are Li at (0.0000, 0.0000, 0.0000), Tl at (0.2500, 0.2500, 0.2500), Cu at (0.0000, 0.0000, 0.5000) and Hg at (0.2500, 0.2500, 0.7500).


Entry 7:
A relaxed Lu2CuHg crystal, computed with PBE.

The formation energy is 31 meV per atom.

The space group is F-43m (No. 216) and the conventional cell measures 6.9869, 6.9869 and 6.9869 Å, with angles of 90.00, 90.00 and 90.00 degrees. The inequivalent atoms are Lu at (0.0000, 0.0000, 0.0000), Lu at (0.2500, 0.2500, 0.2500), Cu at (0.2500, 0.2500, 0.7500) and Hg at (0.0000, 0.0000, 0.5000).


Entry 8:
A relaxed LuCuHg crystal, computed with PBE.

The formation energy is -183 meV per atom.

The space group is F-43m (No. 216) and the conventional cell measures 6.4134, 6.4134 and 6.4134 Å, with angles of 90.00, 90.00 and 90.00 degrees. The inequivalent atoms are Lu at (0.0000, 0.0000, 0.0000), Cu at (0.2500, 0.2500, 0.7500) and Hg at (0.0000, 0.0000, 0.5000).


Entry 9:
A relaxed LuCu2Hg crystal, computed with PBE.

The formation energy is -115 meV per atom.

The space group is F-43m (No. 216) and the conventional cell measures 6.5744, 6.5744 and 6.5744 Å, with angles of 90.00, 90.00 and 90.00 degrees. The inequivalent atoms are Lu at (0.0000, 0.0000, 0.0000), Cu at (0.0000, 0.0000, 0.5000), Cu at (0.2500, 0.2500, 0.2500) and Hg at (0.2500, 0.2500, 0.7500).


Entry 10:
A relaxed LuCuHgS3 crystal, computed with PBE.

The total energy is -4.2903 eV per atom.

The space group is Cmcm (No. 63) and the conventional cell measures 3.7823, 12.4927 and 10.2720 Å, with angles of 90.00, 90.00 and 90.00 degrees. The inequivalent atoms are Lu at (0.0000, 0.0000, 0.0000), Cu at (0.0000, 0.4714, 0.2500), Hg at (0.0000, 0.2455, 0.7500), S at (0.0000, 0.0896, 0.2500) and S at (0.0000, 0.3628, 0.0713).


Entry 11:
A relaxed LuCuHgSb crystal, computed with PBE.

As for the energy relative to the lowest polymorph listed for this composition: 0.00 eV/f.u.

The space group is F-43m (No. 216) and the conventional cell measures 7.0625, 7.0625 and 7.0625 Å, with angles of 90.00, 90.00 and 90.00 degrees. The inequivalent atoms are Lu at (0.0000, 0.0000, 0.0000), Cu at (0.0000, 0.0000, 0.5000), Hg at (0.2500, 0.2500, 0.7500) and Sb at (0.2500, 0.2500, 0.2500).


Entry 12:
A relaxed LuCuHgSb crystal, computed with PBE.

As for the energy relative to the lowest polymorph listed for this composition: 0.22 eV/f.u.

The space group is F-43m (No. 216) and the conventional cell measures 7.0671, 7.0671 and 7.0671 Å, with angles of 90.00, 90.00 and 90.00 degrees. The inequivalent atoms are Lu at (0.0000, 0.0000, 0.0000), Cu at (0.2500, 0.2500, 0.7500), Hg at (0.2500, 0.2500, 0.2500) and Sb at (0.0000, 0.0000, 0.5000).